# 1
Computed, not measured: a relaxed Cr2SiP crystal at the GGA-PBEsol level of DFT.

Results
Formation energy from raw total energies ... -0.11 eV/atom
Energy above the most stable polymorph in this dataset ... 125 meV per atom
Crystal system ... monoclinic

The structure in extended XYZ format:
```
4
Lattice="-2.088 0.033 -1.747 0.541 -3.748 1.404 -2.695 1.819 3.255" Properties=species:S:1:pos:R:3 pbc="T T T"
P -1.348 0.909 1.627
Cr -0.972 -1.460 1.134
Cr -3.270 -0.436 1.778
Si -1.044 0.016 -0.874
```

***

# 2
Computed, not measured: a relaxed BaLaP crystal at the GGA-PBEsol level of DFT.

Results
Energy of formation ... -813.1 meV/atom
Energy above the most stable polymorph in this dataset ... 0 meV per atom
Crystal system ... trigonal

The structure in extended XYZ format:
```
3
Lattice="4.250 0.000 0.000 -2.125 3.681 0.000 0.000 0.000 7.437" Properties=species:S:1:pos:R:3 pbc="T T T"
P 2.125 1.227 2.666
La 0.000 2.454 4.109
Ba 0.000 0.000 0.662
```

***

# 3
Computed, not measured: a relaxed Mg2In2Sn crystal at the GGA-PBEsol level of DFT.

Results
Energy of formation ... -48.7 meV/atom
Crystal system ... tetragonal

The structure in extended XYZ format:
```
10
Lattice="3.282 0.000 0.000 0.000 8.516 0.000 0.000 0.000 8.516" Properties=species:S:1:pos:R:3 pbc="T T T"
Mg 1.641 1.466 5.724
Mg 1.641 7.050 2.792
Mg 1.641 5.724 7.050
Mg 1.641 2.792 1.466
In 0.000 5.346 1.088
In 0.000 7.427 5.346
In 0.000 3.170 7.427
In 0.000 1.088 3.170
Sn 0.000 4.258 4.258
Sn 0.000 0.000 0.000
```

***

# 4
Computed, not measured: a relaxed NaWI2N crystal at the GGA-PBEsol level of DFT.

Results
Formation energy from raw total energies ... 1.90 eV/atom
Crystal system ... tetragonal

The structure in extended XYZ format:
```
5
Lattice="-1.159 -3.640 1.777 3.595 0.914 4.218 -4.030 2.676 2.854" Properties=species:S:1:pos:R:3 pbc="T T T"
I 1.797 0.457 2.109
I -2.015 1.338 1.427
Na 0.000 0.000 0.000
W -0.797 -0.025 4.424
N -0.579 -1.820 0.888
```

***

# 5
Computed, not measured: a relaxed K2TiSbF crystal at the GGA-PBEsol level of DFT.

Results
Formation energy from raw total energies ... 0.26 eV/atom
Crystal system ... tetragonal

The structure in extended XYZ format:
```
5
Lattice="4.339 0.000 0.000 0.000 6.842 0.000 0.000 0.000 6.842" Properties=species:S:1:pos:R:3 pbc="T T T"
F 2.169 0.000 0.000
Sb 0.000 0.000 0.000
K 0.000 0.000 3.421
K 0.000 3.421 0.000
Ti 2.169 3.421 3.421
```

***

# 6
Computed, not measured: a relaxed LaNi2Rh3 crystal at the GGA-PBEsol level of DFT.

Results
Energy of formation ... -329.8 meV/atom
Crystal system ... hexagonal

The structure in extended XYZ format:
```
6
Lattice="-1.073 -3.024 2.365 2.756 -3.292 -2.960 2.258 2.372 4.058" Properties=species:S:1:pos:R:3 pbc="T T T"
Rh 0.592 -0.326 3.211
Rh 0.842 -3.158 -0.297
Rh 1.971 -1.972 1.732
Ni 2.590 -1.404 -0.620
Ni 2.424 0.484 1.719
La 0.000 0.000 0.000
```